Below is a relaxed NiTeI2N crystal, with properties calculated at the GGA-PBE level. Values from VASP.

Its density is 5.71 g/cm3. As for the space group: No. 123. The energy above the most stable polymorph in this dataset comes out at 0.8495 eV/atom.

Quantum ESPRESSO input file:
```
&SYSTEM
  ibrav = 0, nat = 5, ntyp = 4
/
ATOMIC_SPECIES
I 126.90 I.upf
Ni 58.69 Ni.upf
Te 127.60 Te.upf
N 14.01 N.upf
CELL_PARAMETERS angstrom
5.146 0.000 0.000
0.000 5.146 0.000
0.000 0.000 4.988
ATOMIC_POSITIONS angstrom
I 0.000 2.573 0.000
I 2.573 0.000 0.000
Ni 0.000 0.000 0.000
Te 0.000 0.000 2.494
N 2.573 2.573 2.494
```